The following is a PBE calculation of an optimized crystal structure of AgHPbC2SN2O, from OQMD.

abc: 21.773 3.967 7.111
angles: 90.00 90.00 90.00
Positions (direct):
C 0.323 0.250 0.541
C 0.677 0.750 0.459
C 0.177 0.750 0.041
C 0.397 0.250 0.965
C 0.897 0.250 0.535
C 0.103 0.750 0.465
C 0.603 0.750 0.035
C 0.823 0.250 0.959
Pb 0.046 0.250 0.806
Pb 0.954 0.750 0.194
Pb 0.454 0.750 0.306
Pb 0.546 0.250 0.694
S 0.243 0.750 0.155
S 0.743 0.750 0.345
S 0.257 0.250 0.655
S 0.757 0.250 0.845
N 0.051 0.750 0.417
N 0.551 0.750 0.083
N 0.949 0.250 0.583
N 0.129 0.750 0.959
N 0.449 0.250 0.917
N 0.371 0.250 0.459
N 0.871 0.250 0.041
N 0.629 0.750 0.541
H 0.549 0.250 0.278
H 0.049 0.250 0.222
H 0.451 0.750 0.722
H 0.951 0.750 0.778
Ag 0.698 0.750 0.991
Ag 0.302 0.250 0.009
Ag 0.802 0.250 0.491
Ag 0.198 0.750 0.509
O 0.015 0.250 0.132
O 0.985 0.750 0.868
O 0.485 0.750 0.632
O 0.515 0.250 0.368

Values from the calculation:
- DFT total energy: -6.12 eV per atom


The following is a PBE calculation of an optimized crystal structure of NdSiO3, from OQMD.

abc: 5.299 5.299 5.299
angles: 119.93 90.21 119.82
Positions (direct):
O 0.249 0.500 0.249
O 0.251 0.001 0.250
O 0.249 0.000 0.749
O 0.751 0.000 0.251
O 0.749 0.999 0.750
O 0.751 0.500 0.751
Si 0.000 0.000 0.000
Si 0.500 0.000 0.500
Nd 0.249 0.499 0.750
Nd 0.751 0.501 0.250

Values from the calculation:
- DFT total energy: -7.43 eV per atom


The following is a PBE calculation of an optimized crystal structure of TaGaW, from OQMD.

abc: 4.392 4.392 4.392
angles: 60.00 60.00 60.00
Positions (direct):
Ga 0.250 0.250 0.250
W 0.000 0.000 0.000
Ta 0.750 0.750 0.750

Values from the calculation:
- ΔE to the lowest computed polymorph: 0.000 eV per atom


Repeat the third record exactly.
The following is a PBE calculation of an optimized crystal structure of TaGaW, from OQMD.

abc: 4.392 4.392 4.392
angles: 60.00 60.00 60.00
Positions (direct):
Ga 0.250 0.250 0.250
W 0.000 0.000 0.000
Ta 0.750 0.750 0.750

Values from the calculation:
- ΔE to the lowest computed polymorph: 0.000 eV per atom